Record 1
Below is a geometry-optimized Cs2SnSI6 structure, with properties calculated at the GGA-PBE level.

```
Cs2SnSI6
1.0
-4.179 4.179 6.190
4.179 -4.179 6.190
4.179 4.179 -6.190
Cs Sn S I
2 1 1 6
direct
0.250 0.750 0.500 Cs
0.750 0.250 0.500 Cs
0.000 0.000 0.000 Sn
0.500 0.500 0.000 S
0.244 0.244 0.000 I
0.256 0.256 0.513 I
0.256 0.744 0.000 I
0.744 0.256 0.000 I
0.744 0.744 0.487 I
0.756 0.756 0.000 I
```

Results
symmetry = No. 139
formation energy from raw total energies = -0.67 eV per atom
magnetic moment = 0.00 μB per formula unit
total energy = -2.584 eV per atom

Record 2
Below is a geometry-optimized CsSnSI2 structure, with properties calculated at the GGA-PBE level.

```
CsSnSI2
1.0
6.309 0.000 0.000
0.000 6.309 0.000
0.000 0.000 5.045
Cs Sn S I
1 1 1 2
direct
0.000 0.000 0.000 Cs
0.500 0.500 0.500 Sn
0.500 0.500 0.000 S
0.000 0.500 0.500 I
0.500 0.000 0.500 I
```

Results
symmetry = No. 123
formation energy from raw total energies = -0.72 eV per atom
magnetic moment = 0.00 μB per formula unit
total energy = -3.139 eV per atom

Record 3
Below is a geometry-optimized Cs2SrSI6 structure, with properties calculated at the GGA-PBE level.

```
Cs2SrSI6
1.0
-4.215 4.215 7.145
4.215 -4.215 7.145
4.215 4.215 -7.145
Cs Sr S I
2 1 1 6
direct
0.250 0.750 0.500 Cs
0.750 0.250 0.500 Cs
0.000 0.000 0.000 Sr
0.500 0.500 0.000 S
0.223 0.223 0.000 I
0.275 0.275 0.549 I
0.275 0.725 0.000 I
0.725 0.275 0.000 I
0.725 0.725 0.451 I
0.777 0.777 0.000 I
```

Results
symmetry = No. 139
formation energy from raw total energies = -0.97 eV per atom
magnetic moment = 0.00 μB per formula unit
total energy = -2.652 eV per atom

Record 4
Below is a geometry-optimized Cs2TeSI structure, with properties calculated at the GGA-PBE level.

```
Cs2TeSI
1.0
6.936 0.000 0.000
0.000 6.936 0.000
0.000 0.000 5.102
Cs Te S I
2 1 1 1
direct
0.000 0.500 0.000 Cs
0.500 0.000 0.000 Cs
0.000 0.000 0.500 Te
0.000 0.000 0.000 S
0.500 0.500 0.500 I
```

Results
symmetry = No. 123
formation energy from raw total energies = -0.91 eV per atom
magnetic moment = 0.34 μB per formula unit
total energy = -3.013 eV per atom

Record 5
Below is a geometry-optimized CsTeSI2 structure, with properties calculated at the GGA-PBE level.

```
CsTeSI2
1.0
7.352 0.000 0.000
0.000 7.352 0.000
0.000 0.000 7.730
Cs Te S I
1 1 1 2
direct
0.000 0.000 0.000 Cs
0.000 0.000 0.500 Te
0.500 0.500 0.500 S
0.000 0.500 0.000 I
0.500 0.000 0.000 I
```

Results
symmetry = No. 123
formation energy from raw total energies = 0.69 eV per atom
magnetic moment = 5.06 μB per formula unit
total energy = -1.556 eV per atom

Record 6
Below is a geometry-optimized CsTeSI2 structure, with properties calculated at the GGA-PBE level.

```
CsTeSI2
1.0
6.367 0.000 0.000
0.000 6.367 0.000
0.000 0.000 5.093
Cs Te S I
1 1 1 2
direct
0.000 0.000 0.000 Cs
0.500 0.500 0.500 Te
0.500 0.500 0.000 S
0.000 0.500 0.500 I
0.500 0.000 0.500 I
```

Results
symmetry = No. 123
formation energy from raw total energies = -0.54 eV per atom
magnetic moment = 0.00 μB per formula unit
total energy = -2.780 eV per atom

Record 7
Below is a geometry-optimized CsTeSI2 structure, with properties calculated at the GGA-PBE level.

```
CsTeSI2
1.0
6.008 0.000 0.000
0.000 6.008 0.000
0.000 0.000 5.363
Cs Te S I
1 1 1 2
direct
0.000 0.000 0.000 Cs
0.500 0.500 0.000 Te
0.500 0.500 0.500 S
0.000 0.500 0.500 I
0.500 0.000 0.500 I
```

Results
symmetry = No. 123
formation energy from raw total energies = -0.29 eV per atom
magnetic moment = 1.11 μB per formula unit
total energy = -2.539 eV per atom

Record 8
Below is a geometry-optimized CsTeS2I structure, with properties calculated at the GGA-PBE level.

```
CsTeS2I
1.0
5.275 0.000 0.000
0.000 5.275 0.000
0.000 0.000 6.215
Cs Te S I
1 1 2 1
direct
0.000 0.000 0.000 Cs
0.500 0.500 0.500 Te
0.000 0.500 0.500 S
0.500 0.000 0.500 S
0.500 0.500 0.000 I
```

Results
symmetry = No. 123
formation energy from raw total energies = -0.33 eV per atom
magnetic moment = 0.00 μB per formula unit
total energy = -3.087 eV per atom

Q: Which of these has the highest magnetic moment?
A: number 5

Q: The lowest total energy belongs to which entry?
A: CsSnSI2

Q: Number 1 is which compound?
A: Cs2SnSI6

Copy entry 4 word for word.
Below is a geometry-optimized Cs2TeSI structure, with properties calculated at the GGA-PBE level.

```
Cs2TeSI
1.0
6.936 0.000 0.000
0.000 6.936 0.000
0.000 0.000 5.102
Cs Te S I
2 1 1 1
direct
0.000 0.500 0.000 Cs
0.500 0.000 0.000 Cs
0.000 0.000 0.500 Te
0.000 0.000 0.000 S
0.500 0.500 0.500 I
```

Results
symmetry = No. 123
formation energy from raw total energies = -0.91 eV per atom
magnetic moment = 0.34 μB per formula unit
total energy = -3.013 eV per atom